(1)
An optimized crystal structure of Rb6TeSeI2, computed with PBE-GGA.

The structure belongs to space group C2/m (No. 12); the cell edges are 15.8350, 9.3316 and 9.2409 Å and the angles 90.00°, 124.40° and 90.00°. The asymmetric unit holds Rb at (0.0776, 0.2454, 0.3358), Rb at (0.2399, 0.0000, 0.8748), Te at (0.0000, 0.5000, 0.0000), Se at (0.0000, 0.0000, 0.5000) and I at (0.2474, 0.5000, 0.7122).

The value obtained for the raw total energy is -2.707 eV/atom. As for the raw formation energy: -1.153 eV per atom.



(2)
An optimized crystal structure of Nd4SiS2, computed with PBE-GGA.

The structure belongs to space group C2/m (No. 12); the cell edges are 15.1883, 4.1274 and 6.9768 Å and the angles 90.00°, 116.80° and 90.00°. The asymmetric unit holds Nd at (0.1253, 0.0000, 0.4627), Nd at (0.1284, 0.5000, 0.9654), Si at (0.0000, 0.0000, 0.0000) and S at (0.2443, 0.5000, 0.7366).

The value obtained for the raw total energy is -5.952 eV/atom. As for the raw formation energy: -1.274 eV per atom.



(3)
An optimized crystal structure of Te2Pd7S2, computed with PBE-GGA.

The structure belongs to space group C2/m (No. 12); the cell edges are 9.1835, 11.0223 and 5.3538 Å and the angles 90.00°, 120.03° and 90.00°. The asymmetric unit holds Te at (0.0000, 0.2101, 0.0000), Pd at (0.0000, 0.5000, 0.5000), Pd at (0.0514, 0.0000, 0.2919), Pd at (0.2375, 0.3691, 0.0653) and S at (0.1795, 0.5000, 0.3323).

The value obtained for the raw total energy is -4.750 eV/atom. As for the raw formation energy: -0.123 eV per atom.



(4)
An optimized crystal structure of K2H2Br2O, computed with PBE-GGA.

The structure belongs to space group C2/m (No. 12); the cell edges are 9.6700, 8.1384 and 4.2747 Å and the angles 90.00°, 107.21° and 90.00°. The asymmetric unit holds K at (0.0000, 0.2450, 0.0000), H at (0.1024, 0.5000, 0.4963), Br at (0.2037, 0.0000, 0.6340) and O at (0.0000, 0.5000, 0.5000).

The value obtained for the raw total energy is -3.724 eV/atom.



Mass density, respectively: 2.9 5.7 7.5 2.6 Mg/m³.